# Zn6IrAu GGA-PBE optimized geometry
# Energy above the most stable polymorph in this dataset = 0.000 eV/atom
data_Zn6IrAu
_chemical_formula_sum 'Zn48 Ir8 Au8'
_cell_length_a 7.778
_cell_length_b 11.015
_cell_length_c 11.088
_cell_angle_alpha 90.00
_cell_angle_beta 90.00
_cell_angle_gamma 90.00
_space_group_name_H-M_alt 'C m m m'
_space_group_IT_number 65
_space_group_name_Hall '-C 2 2'
loop_
_atom_site_label
_atom_site_fract_x
_atom_site_fract_y
_atom_site_fract_z
Zn1 0.000 0.000 0.000
Zn2 0.000 0.000 0.500
Zn3 0.000 0.249 0.242
Zn4 0.000 0.500 0.000
Zn5 0.000 0.500 0.500
Zn6 0.237 0.124 0.370
Zn7 0.239 0.128 0.121
Ir1 0.000 0.000 0.243
Ir2 0.000 0.265 0.000
Au1 0.000 0.262 0.500
Au2 0.000 0.500 0.248

---

A plane-wave DFT calculation with GGA-PBE was carried out for a relaxed ZnIr2Au crystal.

```
data_ZnIr2Au
_chemical_formula_sum 'Zn1 Ir2 Au1'
_cell_length_a 2.786
_cell_length_b 2.786
_cell_length_c 7.900
_cell_angle_alpha 90.00
_cell_angle_beta 90.00
_cell_angle_gamma 90.00
_space_group_name_H-M_alt 'P 4 m m'
_space_group_IT_number 99
_space_group_name_Hall 'P 4 -2'
loop_
_atom_site_label
_atom_site_fract_x
_atom_site_fract_y
_atom_site_fract_z
Zn1 0.000 0.000 0.000
Ir1 0.000 0.000 0.534
Ir2 0.500 0.500 0.761
Au1 0.500 0.500 0.257
```

---

# Zn3Ir2Au GGA-PBE optimized geometry
# Energy above the most stable polymorph in this dataset = 0.000 eV/atom
data_Zn3Ir2Au
_chemical_formula_sum 'Zn3 Ir2 Au1'
_cell_length_a 4.269
_cell_length_b 3.186
_cell_length_c 6.778
_cell_angle_alpha 90.00
_cell_angle_beta 108.29
_cell_angle_gamma 90.00
_space_group_name_H-M_alt 'P 1 2/m 1'
_space_group_IT_number 10
_space_group_name_Hall '-P 2y'
loop_
_atom_site_label
_atom_site_fract_x
_atom_site_fract_y
_atom_site_fract_z
Zn1 0.000 0.000 0.000
Zn2 0.324 0.000 0.649
Ir1 0.162 0.500 0.323
Au1 0.500 0.500 0.000

---

A plane-wave DFT calculation with GGA-PBE was carried out for a relaxed Zn3IrAu2 crystal.

```
data_Zn3IrAu2
_chemical_formula_sum 'Zn12 Ir4 Au8'
_cell_length_a 4.127
_cell_length_b 12.359
_cell_length_c 7.282
_cell_angle_alpha 90.00
_cell_angle_beta 90.00
_cell_angle_gamma 90.00
_space_group_name_H-M_alt 'C m m m'
_space_group_IT_number 65
_space_group_name_Hall '-C 2 2'
loop_
_atom_site_label
_atom_site_fract_x
_atom_site_fract_y
_atom_site_fract_z
Zn1 0.000 0.000 0.238
Zn2 0.000 0.328 0.233
Ir1 0.000 0.165 0.000
Au1 0.000 0.165 0.500
Au2 0.000 0.500 0.000
Au3 0.000 0.500 0.500
```

---

A plane-wave DFT calculation with GGA-PBE was carried out for a relaxed Zn7Ir2Au2 crystal.

```
data_Zn7Ir2Au2
_chemical_formula_sum 'Zn14 Ir4 Au4'
_cell_length_a 7.835
_cell_length_b 7.570
_cell_length_c 6.759
_cell_angle_alpha 90.00
_cell_angle_beta 90.23
_cell_angle_gamma 90.00
_space_group_name_H-M_alt 'C 1 2/m 1'
_space_group_IT_number 12
_space_group_name_Hall '-C 2y'
loop_
_atom_site_label
_atom_site_fract_x
_atom_site_fract_y
_atom_site_fract_z
Zn1 0.000 0.000 0.000
Zn2 0.001 0.500 0.315
Zn3 0.249 0.249 0.233
Ir1 0.177 0.500 0.000
Au1 0.000 0.184 0.500
```

---

A plane-wave DFT calculation with GGA-PBE was carried out for a relaxed ZnIr2Au crystal.

```
data_ZnIr2Au
_chemical_formula_sum 'Zn2 Ir4 Au2'
_cell_length_a 3.951
_cell_length_b 3.951
_cell_length_c 7.832
_cell_angle_alpha 90.00
_cell_angle_beta 90.00
_cell_angle_gamma 90.00
_space_group_name_H-M_alt 'I 4/m m m'
_space_group_IT_number 139
_space_group_name_Hall '-I 4 2'
loop_
_atom_site_label
_atom_site_fract_x
_atom_site_fract_y
_atom_site_fract_z
Zn1 0.000 0.000 0.000
Ir1 0.000 0.500 0.250
Au1 0.000 0.000 0.500
```

---

A plane-wave DFT calculation with GGA-PBE was carried out for a relaxed Zn5IrAu2 crystal.

```
data_Zn5IrAu2
_chemical_formula_sum 'Zn10 Ir2 Au4'
_cell_length_a 4.041
_cell_length_b 4.041
_cell_length_c 14.904
_cell_angle_alpha 90.00
_cell_angle_beta 90.00
_cell_angle_gamma 90.00
_space_group_name_H-M_alt 'I 4/m m m'
_space_group_IT_number 139
_space_group_name_Hall '-I 4 2'
loop_
_atom_site_label
_atom_site_fract_x
_atom_site_fract_y
_atom_site_fract_z
Zn1 0.000 0.000 0.000
Zn2 0.000 0.500 0.118
Ir1 0.000 0.000 0.500
Au1 0.000 0.000 0.256
```

---

A plane-wave DFT calculation with GGA-PBE was carried out for a relaxed Zn2IrAu crystal.

```
data_Zn2IrAu
_chemical_formula_sum 'Zn2 Ir1 Au1'
_cell_length_a 2.852
_cell_length_b 3.949
_cell_length_c 5.468
_cell_angle_alpha 90.00
_cell_angle_beta 90.00
_cell_angle_gamma 90.00
_space_group_name_H-M_alt 'P m m 2'
_space_group_IT_number 25
_space_group_name_Hall 'P 2 -2'
loop_
_atom_site_label
_atom_site_fract_x
_atom_site_fract_y
_atom_site_fract_z
Zn1 0.000 0.000 0.000
Zn2 0.500 0.500 0.284
Ir1 0.500 0.500 0.812
Au1 0.000 0.000 0.505
```

---

# Zn4IrAu GGA-PBE optimized geometry
# Energy above the most stable polymorph in this dataset = 0.164 eV/atom
data_Zn4IrAu
_chemical_formula_sum 'Zn16 Ir4 Au4'
_cell_length_a 7.048
_cell_length_b 7.048
_cell_length_c 7.048
_cell_angle_alpha 90.00
_cell_angle_beta 90.00
_cell_angle_gamma 90.00
_space_group_name_H-M_alt 'F -4 3 m'
_space_group_IT_number 216
_space_group_name_Hall 'F -4 2 3'
loop_
_atom_site_label
_atom_site_fract_x
_atom_site_fract_y
_atom_site_fract_z
Zn1 0.125 0.125 0.125
Ir1 0.000 0.000 0.500
Au1 0.250 0.250 0.750

---

A plane-wave DFT calculation with GGA-PBE was carried out for a relaxed Zn2IrAu crystal.

```
data_Zn2IrAu
_chemical_formula_sum 'Zn2 Ir1 Au1'
_cell_length_a 3.100
_cell_length_b 3.285
_cell_length_c 5.901
_cell_angle_alpha 90.00
_cell_angle_beta 90.00
_cell_angle_gamma 90.00
_space_group_name_H-M_alt 'P m m m'
_space_group_IT_number 47
_space_group_name_Hall '-P 2 2'
loop_
_atom_site_label
_atom_site_fract_x
_atom_site_fract_y
_atom_site_fract_z
Zn1 0.000 0.000 0.232
Ir1 0.500 0.500 0.000
Au1 0.500 0.500 0.500
```

---

# ZrZnIrAu GGA-PBE optimized geometry
# Energy above the most stable polymorph in this dataset = 0.000 eV/atom
data_ZrZnIrAu
_chemical_formula_sum 'Zr2 Zn2 Ir2 Au2'
_cell_length_a 4.130
_cell_length_b 4.130
_cell_length_c 7.912
_cell_angle_alpha 90.00
_cell_angle_beta 90.00
_cell_angle_gamma 90.00
_space_group_name_H-M_alt 'I -4 m 2'
_space_group_IT_number 119
_space_group_name_Hall 'I -4 -2'
loop_
_atom_site_label
_atom_site_fract_x
_atom_site_fract_y
_atom_site_fract_z
Zr1 0.000 0.000 0.000
Zn1 0.000 0.000 0.500
Ir1 0.000 0.500 0.750
Au1 0.000 0.500 0.250

---

A plane-wave DFT calculation with GGA-PBE was carried out for a relaxed ZrZn2IrAu crystal.

```
data_ZrZn2IrAu
_chemical_formula_sum 'Zr1 Zn2 Ir1 Au1'
_cell_length_a 4.615
_cell_length_b 4.615
_cell_length_c 5.277
_cell_angle_alpha 90.00
_cell_angle_beta 90.00
_cell_angle_gamma 90.00
_space_group_name_H-M_alt 'P 4/m m m'
_space_group_IT_number 123
_space_group_name_Hall '-P 4 2'
loop_
_atom_site_label
_atom_site_fract_x
_atom_site_fract_y
_atom_site_fract_z
Zr1 0.000 0.000 0.000
Zn1 0.000 0.500 0.500
Ir1 0.500 0.500 0.000
Au1 0.000 0.000 0.500
```

---

# ZrZnIrAu GGA-PBE optimized geometry
# Energy above the most stable polymorph in this dataset = 0.043 eV/atom
data_ZrZnIrAu
_chemical_formula_sum 'Zr4 Zn4 Ir4 Au4'
_cell_length_a 6.510
_cell_length_b 6.510
_cell_length_c 6.510
_cell_angle_alpha 90.00
_cell_angle_beta 90.00
_cell_angle_gamma 90.00
_space_group_name_H-M_alt 'F -4 3 m'
_space_group_IT_number 216
_space_group_name_Hall 'F -4 2 3'
loop_
_atom_site_label
_atom_site_fract_x
_atom_site_fract_y
_atom_site_fract_z
Zr1 0.000 0.000 0.000
Zn1 0.000 0.000 0.500
Ir1 0.250 0.250 0.250
Au1 0.250 0.250 0.750

---

# ZrIrAu GGA-PBE optimized geometry
# Energy above the most stable polymorph in this dataset = 0.287 eV/atom
data_ZrIrAu
_chemical_formula_sum 'Zr4 Ir4 Au4'
_cell_length_a 6.339
_cell_length_b 6.339
_cell_length_c 6.339
_cell_angle_alpha 90.00
_cell_angle_beta 90.00
_cell_angle_gamma 90.00
_space_group_name_H-M_alt 'F -4 3 m'
_space_group_IT_number 216
_space_group_name_Hall 'F -4 2 3'
loop_
_atom_site_label
_atom_site_fract_x
_atom_site_fract_y
_atom_site_fract_z
Zr1 0.000 0.000 0.000
Ir1 0.250 0.250 0.750
Au1 0.000 0.000 0.500

---

# ZrIr3Au GGA-PBE optimized geometry
# Energy above the most stable polymorph in this dataset = 0.000 eV/atom
data_ZrIr3Au
_chemical_formula_sum 'Zr1 Ir3 Au1'
_cell_length_a 4.837
_cell_length_b 4.837
_cell_length_c 4.837
_cell_angle_alpha 90.00
_cell_angle_beta 90.00
_cell_angle_gamma 90.00
_space_group_name_H-M_alt 'P m -3 m'
_space_group_IT_number 221
_space_group_name_Hall '-P 4 2 3'
loop_
_atom_site_label
_atom_site_fract_x
_atom_site_fract_y
_atom_site_fract_z
Zr1 0.000 0.000 0.000
Ir1 0.000 0.000 0.500
Au1 0.500 0.500 0.500

---

A plane-wave DFT calculation with GGA-PBE was carried out for a relaxed ZrIr4Au crystal.

```
data_ZrIr4Au
_chemical_formula_sum 'Zr4 Ir16 Au4'
_cell_length_a 7.392
_cell_length_b 7.392
_cell_length_c 7.392
_cell_angle_alpha 90.00
_cell_angle_beta 90.00
_cell_angle_gamma 90.00
_space_group_name_H-M_alt 'F -4 3 m'
_space_group_IT_number 216
_space_group_name_Hall 'F -4 2 3'
loop_
_atom_site_label
_atom_site_fract_x
_atom_site_fract_y
_atom_site_fract_z
Zr1 0.000 0.000 0.000
Ir1 0.125 0.125 0.625
Au1 0.250 0.250 0.250
```

---

# Zr2Ir2Au GGA-PBE optimized geometry
# Energy above the most stable polymorph in this dataset = 0.000 eV/atom
data_Zr2Ir2Au
_chemical_formula_sum 'Zr4 Ir4 Au2'
_cell_length_a 7.686
_cell_length_b 7.686
_cell_length_c 3.166
_cell_angle_alpha 90.00
_cell_angle_beta 90.00
_cell_angle_gamma 90.00
_space_group_name_H-M_alt 'P 4/m b m'
_space_group_IT_number 127
_space_group_name_Hall '-P 4 2ab'
loop_
_atom_site_label
_atom_site_fract_x
_atom_site_fract_y
_atom_site_fract_z
Zr1 0.164 0.336 0.000
Ir1 0.135 0.635 0.500
Au1 0.000 0.000 0.500

---

# Zr4IrAu GGA-PBE optimized geometry
# Energy above the most stable polymorph in this dataset = 0.729 eV/atom
data_Zr4IrAu
_chemical_formula_sum 'Zr16 Ir4 Au4'
_cell_length_a 7.847
_cell_length_b 7.847
_cell_length_c 7.847
_cell_angle_alpha 90.00
_cell_angle_beta 90.00
_cell_angle_gamma 90.00
_space_group_name_H-M_alt 'F -4 3 m'
_space_group_IT_number 216
_space_group_name_Hall 'F -4 2 3'
loop_
_atom_site_label
_atom_site_fract_x
_atom_site_fract_y
_atom_site_fract_z
Zr1 0.124 0.124 0.376
Ir1 0.250 0.250 0.750
Au1 0.000 0.000 0.000

---

A plane-wave DFT calculation with GGA-PBE was carried out for a relaxed Zr5Ir2Au crystal.

```
data_Zr5Ir2Au
_chemical_formula_sum 'Zr20 Ir8 Au4'
_cell_length_a 7.466
_cell_length_b 7.466
_cell_length_c 11.781
_cell_angle_alpha 90.00
_cell_angle_beta 90.00
_cell_angle_gamma 90.00
_space_group_name_H-M_alt 'I 4/m c m'
_space_group_IT_number 140
_space_group_name_Hall '-I 4 2c'
loop_
_atom_site_label
_atom_site_fract_x
_atom_site_fract_y
_atom_site_fract_z
Zr1 0.000 0.000 0.000
Zr2 0.158 0.342 0.144
Ir1 0.136 0.364 0.500
Au1 0.000 0.000 0.250
```

---

# Zr4IrAu GGA-PBE optimized geometry
# Energy above the most stable polymorph in this dataset = 0.298 eV/atom
data_Zr4IrAu
_chemical_formula_sum 'Zr8 Ir2 Au2'
_cell_length_a 7.307
_cell_length_b 6.852
_cell_length_c 5.747
_cell_angle_alpha 90.00
_cell_angle_beta 95.14
_cell_angle_gamma 90.00
_space_group_name_H-M_alt 'P 1 21/c 1'
_space_group_IT_number 14
_space_group_name_Hall '-P 2ybc'
loop_
_atom_site_label
_atom_site_fract_x
_atom_site_fract_y
_atom_site_fract_z
Zr1 0.139 0.144 0.424
Zr2 0.269 0.681 0.322
Ir1 0.000 0.000 0.000
Au1 0.500 0.000 0.500

---

# ZrIrAu GGA-PBE optimized geometry
# Energy above the most stable polymorph in this dataset = 0.011 eV/atom
data_ZrIrAu
_chemical_formula_sum 'Zr4 Ir4 Au4'
_cell_length_a 5.096
_cell_length_b 8.725
_cell_length_c 5.219
_cell_angle_alpha 90.00
_cell_angle_beta 111.48
_cell_angle_gamma 90.00
_space_group_name_H-M_alt 'C 1 2/c 1'
_space_group_IT_number 15
_space_group_name_Hall '-C 2yc'
loop_
_atom_site_label
_atom_site_fract_x
_atom_site_fract_y
_atom_site_fract_z
Zr1 0.000 0.116 0.250
Ir1 0.000 0.218 0.750
Au1 0.000 0.442 0.250

---

# Zr4IrAu GGA-PBE optimized geometry
# Energy above the most stable polymorph in this dataset = 0.000 eV/atom
data_Zr4IrAu
_chemical_formula_sum 'Zr64 Ir16 Au16'
_cell_length_a 12.653
_cell_length_b 12.653
_cell_length_c 12.653
_cell_angle_alpha 90.00
_cell_angle_beta 90.00
_cell_angle_gamma 90.00
_space_group_name_H-M_alt 'F -4 3 m'
_space_group_IT_number 216
_space_group_name_Hall 'F -4 2 3'
loop_
_atom_site_label
_atom_site_fract_x
_atom_site_fract_y
_atom_site_fract_z
Zr1 0.000 0.000 0.185
Zr2 0.062 0.250 0.750
Zr3 0.136 0.136 0.364
Ir1 0.148 0.148 0.148
Au1 0.089 0.089 0.589

---

# ZrIrAu GGA-PBE optimized geometry
# Energy above the most stable polymorph in this dataset = 0.027 eV/atom
data_ZrIrAu
_chemical_formula_sum 'Zr4 Ir4 Au4'
_cell_length_a 8.770
_cell_length_b 4.434
_cell_length_c 5.661
_cell_angle_alpha 90.00
_cell_angle_beta 100.86
_cell_angle_gamma 90.00
_space_group_name_H-M_alt 'C 1 2/m 1'
_space_group_IT_number 12
_space_group_name_Hall '-C 2y'
loop_
_atom_site_label
_atom_site_fract_x
_atom_site_fract_y
_atom_site_fract_z
Zr1 0.158 0.000 0.297
Ir1 0.175 0.000 0.795
Au1 0.000 0.500 0.000
Au2 0.000 0.500 0.500

---

Values for E, eV/f.u., ordered as above
-21.01, -22.26, -25.94, -20.39, -33.13, -21.32, -23.32, -14.93, -17.16, -15.45, -23.89, -19.49, -23.72, -21.59, -30.07, -48.60, -41.48, -44.98, -68.34, -47.57, -22.42, -49.36, -22.37
Values for ρ, g/cm3, ordered as above
10.93, 17.52, 14.75, 13.99, 10.24, 17.57, 12.46, 14.02, 12.35, 14.37, 13.43, 9.03, 13.14, 12.52, 12.69, 17.38, 13.56, 10.36, 10.49, 8.74, 14.78, 9.89, 14.76
Values for ΔH_f (0 K), eV/atom, ordered as above
-0.153, 0.004, -0.187, -0.192, 0.006, 0.239, -0.192, -0.060, 0.012, -0.192, -0.482, 0.748, -0.439, -0.302, 1.668, -0.222, -0.678, 0.225, -0.575, -0.207, -0.579, -0.505, -0.563